# DyTm4ScS8 (PBE-GGA, relaxed)
data_DyTm4ScS8
_chemical_formula_sum 'Dy1 Tm4 Sc1 S8'
_space_group_name_H-M_alt 'P 1'
_space_group_IT_number 1
_cell_length_a 7.947
_cell_length_b 7.947
_cell_length_c 7.850
_cell_angle_alpha 59.59
_cell_angle_beta 59.59
_cell_angle_gamma 60.00
loop_
_space_group_symop_operation_xyz
'x,y,z'
loop_
_atom_site_label
_atom_site_type_symbol
_atom_site_fract_x
_atom_site_fract_y
_atom_site_fract_z
_atom_site_occupancy
S1 S 0.242 0.242 0.273 1
S2 S 0.236 0.236 0.748 1
S3 S 0.236 0.780 0.748 1
S4 S 0.225 0.762 0.251 1
Dy1 Dy 0.378 0.378 0.866 1
Tm1 Tm 0.000 0.000 0.500 1
S5 S 0.780 0.236 0.748 1
Sc1 Sc 0.000 0.000 0.001 1
S6 S 0.757 0.757 0.730 1
S7 S 0.762 0.225 0.251 1
S8 S 0.762 0.762 0.251 1
Tm2 Tm 0.500 0.000 0.500 1
Tm3 Tm 0.622 0.622 0.133 1
Tm4 Tm 0.000 0.500 0.500 1
# **Total DFT energy (no corrections)**: -88.4 eV for the cell shown
# **Calculated volume**: 348.31 Å³/cell
# **E_form (uncorrected)**: -1900 meV/atom
# **Total magnetization**: 0.000 μB per atom